## ZrPaH2 (GGA-PBE)

Data for a relaxed structure of ZrPaH2.

Calculated values
The value obtained for the energy above the lowest structure with this stoichiometry is 0.0 meV per atom. The calculation puts the total energy at -6.45 eV/atom. Its magnetization is 0.96 μB/cell.

The structure in CIF format:
```
data_ZrPaH2
_chemical_formula_sum 'Zr3 Pa3 H6'
_cell_length_a 3.1536
_cell_length_b 3.1536
_cell_length_c 18.2199
_cell_angle_alpha 90.00
_cell_angle_beta 90.00
_cell_angle_gamma 120.00
_symmetry_space_group_name_H-M 'R -3 m'
_symmetry_Int_Tables_number 166
_symmetry_space_group_name_Hall '-R 3 2"'
loop_
_atom_site_label
_atom_site_fract_x
_atom_site_fract_y
_atom_site_fract_z
_atom_site_occupancy
Zr1 0.0000 0.0000 0.0000 1
Pa1 0.0000 0.0000 0.5000 1
H1 0.0000 0.0000 0.2670 1
```